i | This record from Alexandria describes a geometry-optimized MgRe2 structure. The functional is PBE-GGA.

space group: I4_1/amd, No. 141

Cell lengths 9.8529, 9.8529, 9.8529 Å; angles 153.83, 153.83, 37.35 degrees
Closest atoms and distances in Å follow each position.
Element x y z (fractional)
Re  0.2478  0.2478  0.0000  4 Re 2.66-2.70, 4 Mg 2.70-2.74
Re  0.8293  0.3293  0.5000  7 Re 2.66-2.96, 2 Mg 2.76
Re  0.4207  0.4207  0.0000  7 Re 2.66-2.96, 2 Mg 2.76
Re  0.7522  0.7522  0.0000  4 Re 2.66-2.70, 4 Mg 2.70-2.74
Re  0.5793  0.5793  0.0000  7 Re 2.66-2.96, 2 Mg 2.76
Re  0.0022  0.5022  0.5000  4 Re 2.66-2.70, 4 Mg 2.70-2.74
Re  0.4978  0.9978  0.5000  4 Re 2.66-2.70, 4 Mg 2.70-2.74
Re  0.6707  0.1707  0.5000  7 Re 2.66-2.96, 2 Mg 2.76
Mg  0.1665  0.6665  0.5000  6 Re 2.70-2.76, 2 Mg 2.72
Mg  0.9165  0.9165  0.0000  6 Re 2.70-2.76, 2 Mg 2.72
Mg  0.3335  0.8335  0.5000  6 Re 2.70-2.76, 2 Mg 2.72
Mg  0.0835  0.0835  0.0000  6 Re 2.70-2.76, 2 Mg 2.72

=====

ii | This record from Alexandria describes a geometry-optimized MgRe2 structure. The functional is PBE-GGA.

space group: Fd-3m, No. 227

Cell lengths 5.2523, 5.2523, 5.2523 Å; angles 60.00, 60.00, 60.00 degrees
Closest atoms and distances in Å follow each position.
Element x y z (fractional)
Re  0.1250  0.1250  0.1250  6 Re 2.63
Re  0.1250  0.6250  0.1250  6 Re 2.63
Re  0.1250  0.1250  0.6250  6 Re 2.63
Re  0.6250  0.1250  0.1250  6 Re 2.63
Mg  0.5000  0.5000  0.5000  12 Re 3.08, 4 Mg 3.22
Mg  0.7500  0.7500  0.7500  12 Re 3.08, 4 Mg 3.22

=====

iii | This record from Alexandria describes a geometry-optimized MgRe2 structure. The functional is PBE-GGA.

space group: P6/mmm, No. 191

Cell lengths 4.4218, 4.4218, 2.9158 Å; angles 90.00, 90.00, 120.00 degrees
Closest atoms and distances in Å follow each position.
Element x y z (fractional)
Mg  0.0000  0.0000  0.0000  2 Mg 2.92, 12 Re 2.94
Re  0.6667  0.3333  0.5000  3 Re 2.55
Re  0.3333  0.6667  0.5000  3 Re 2.55

=====

Most stable pick: ii. Distance to second place: 0.130 eV/atom.

=====

i | This record from Alexandria describes a geometry-optimized MgRe2 structure. The functional is PBE-GGA.

space group: P4/mmm, No. 123

Cell lengths 4.5571, 4.5571, 2.5935 Å; angles 90.00, 90.00, 90.00 degrees
Closest atoms and distances in Å follow each position.
Element x y z (fractional)
Re  0.5000  0.0000  0.5000  2 Re 2.59, 4 Mg 2.62
Re  0.0000  0.5000  0.5000  2 Re 2.59, 4 Mg 2.62
Mg  0.0000  0.0000  0.0000  2 Mg 2.59, 8 Re 2.62

=====

ii | This record from Alexandria describes a geometry-optimized MgRe2 structure. The functional is PBE-GGA.

space group: C2/m, No. 12

Cell lengths 4.9769, 4.9769, 7.7420 Å; angles 67.60, 67.60, 33.50 degrees
Closest atoms and distances in Å follow each position.
Element x y z (fractional)
Mg  0.6615  0.6615  0.4048  7 Re 2.83-2.97, 5 Mg 2.83-3.01
Mg  0.3385  0.3385  0.5952  7 Re 2.83-2.97, 5 Mg 2.83-3.01
Re  0.0054  0.0054  0.7665  6 Re 2.61-2.87, 3 Mg 2.83-2.91
Re  0.9946  0.9946  0.2335  6 Re 2.61-2.87, 3 Mg 2.83-2.91
Re  0.6562  0.6562  0.9388  9 Re 2.61-2.87, 2 Mg 2.91
Re  0.3438  0.3438  0.0612  9 Re 2.61-2.87, 2 Mg 2.91

=====

Most stable pick: ii. Distance to second place: 1.464 eV/atom.

=====

i | This record from Alexandria describes a geometry-optimized MgRe5 structure. The functional is PBE-GGA.

space group: Cmmm, No. 65

Cell lengths 5.2144, 5.2144, 4.3753 Å; angles 90.00, 90.00, 130.47 degrees
Closest atoms and distances in Å follow each position.
Element x y z (fractional)
Re  0.8295  0.1705  0.0000  6 Re 2.65-2.72, 2 Mg 2.72
Re  0.1705  0.8295  0.0000  6 Re 2.65-2.72, 2 Mg 2.72
Re  0.6650  0.3350  0.5000  6 Re 2.69-2.71, 2 Mg 2.69
Re  0.3350  0.6650  0.5000  6 Re 2.69-2.71, 2 Mg 2.69
Re  0.0000  0.0000  0.5000  8 Re 2.69-2.72
Mg  0.5000  0.5000  0.0000  8 Re 2.69-2.72

=====

ii | This record from Alexandria describes a geometry-optimized MgRe5 structure. The functional is PBE-GGA.

space group: Cm, No. 8

Cell lengths 5.2588, 5.2588, 6.5182 Å; angles 73.48, 73.48, 32.17 degrees
Closest atoms and distances in Å follow each position.
Element x y z (fractional)
Mg  0.2869  0.2869  0.9204  10 Re 2.75-2.99, 2 Mg 2.91
Re  0.6208  0.6208  0.2646  10 Re 2.69-2.91, 2 Mg 2.78
Re  0.6457  0.6457  0.6823  9 Re 2.63-2.91, 2 Mg 2.81
Re  0.3322  0.3322  0.3532  11 Re 2.67-2.91, 1 Mg 2.99
Re  0.9558  0.9558  0.5872  8 Re 2.63-2.91, 2 Mg 2.75
Re  0.9920  0.9920  0.0256  9 Re 2.69-2.99, 3 Mg 2.78-2.85

=====

iii | This record from Alexandria describes a geometry-optimized MgRe5 structure. The functional is PBE-GGA.

space group: P-62m, No. 189

Cell lengths 4.7832, 4.7832, 4.5728 Å; angles 90.00, 90.00, 120.00 degrees
Closest atoms and distances in Å follow each position.
Element x y z (fractional)
Re  0.0000  0.6710  0.0000  10 Re 2.73-2.79, 2 Mg 2.78
Re  0.3333  0.6667  0.5000  3 Mg 2.76, 9 Re 2.76-2.79
Re  0.6710  0.0000  0.0000  10 Re 2.73-2.79, 2 Mg 2.78
Re  0.3290  0.3290  0.0000  10 Re 2.73-2.79, 2 Mg 2.78
Re  0.6667  0.3333  0.5000  3 Mg 2.76, 9 Re 2.76-2.79
Mg  0.0000  0.0000  0.5000  12 Re 2.76-2.78

=====

Most stable pick: i. Distance to second place: 0.012 eV/atom.

=====

i | This record from Alexandria describes a geometry-optimized MgRe5 structure. The functional is PBE-GGA.

space group: Amm2, No. 38

Cell lengths 7.4018, 7.4018, 4.5198 Å; angles 90.00, 90.00, 158.36 degrees
Closest atoms and distances in Å follow each position.
Element x y z (fractional)
Re  0.7796  0.2204  0.5000  10 Re 2.70-2.78, 2 Mg 2.81
Re  0.0003  0.9997  0.0000  10 Re 2.77-2.81, 2 Mg 2.78
Re  0.3351  0.6649  0.0000  12 Re 2.71-2.80
Re  0.4385  0.5615  0.5000  10 Re 2.70-2.80, 2 Mg 2.88
Re  0.6683  0.3317  0.0000  4 Mg 2.78, 8 Re 2.78-2.81
Mg  0.1117  0.8883  0.5000  10 Re 2.78-2.88, 2 Mg 2.78

=====

ii | This record from Alexandria describes a geometry-optimized MgRe5 structure. The functional is PBE-GGA.

space group: F-43m, No. 216

Cell lengths 5.1648, 5.1648, 5.1648 Å; angles 60.00, 60.00, 60.00 degrees
Closest atoms and distances in Å follow each position.
Element x y z (fractional)
Re  0.3741  0.3741  0.8776  6 Re 2.56-2.60
Re  0.3741  0.8776  0.3741  6 Re 2.56-2.60
Re  0.7500  0.7500  0.7500  12 Re 3.03, 4 Mg 3.16
Re  0.8776  0.3741  0.3741  6 Re 2.56-2.60
Re  0.3741  0.3741  0.3741  6 Re 2.56-2.60
Mg  0.0000  0.0000  0.0000  16 Re 3.03-3.16

=====

Most stable pick: i. Distance to second place: 0.180 eV/atom.

=====

i | This record from Alexandria describes a geometry-optimized MgRe4 structure. The functional is PBE-GGA.

space group: I4/mmm, No. 139

Cell lengths 6.0949, 6.0949, 6.0949 Å; angles 139.76, 139.76, 58.22 degrees
Closest atoms and distances in Å follow each position.
Element x y z (fractional)
Re  0.7500  0.2500  0.5000  4 Re 2.53
Re  0.2500  0.7500  0.5000  4 Re 2.53
Re  0.3823  0.3823  0.0000  5 Re 2.51-2.53
Re  0.6177  0.6177  0.0000  5 Re 2.51-2.53
Mg  0.0000  0.0000  0.0000  16 Re 3.22-3.39

=====

ii | This record from Alexandria describes a geometry-optimized MgRe4 structure. The functional is PBE-GGA.

space group: Im-3m, No. 229

Cell lengths 4.8539, 4.8539, 4.8539 Å; angles 109.47, 109.47, 109.47 degrees
Closest atoms and distances in Å follow each position.
Element x y z (fractional)
Re  0.0000  0.0000  0.5000  2 Mg 2.43
Re  0.5000  0.0000  0.0000  2 Mg 2.43
Re  0.0000  0.5000  0.0000  2 Mg 2.43
Re  0.5000  0.5000  0.5000  2 Mg 2.43
Mg  0.0000  0.0000  0.0000  8 Re 2.43

=====

Most stable pick: i. Distance to second place: 1.661 eV/atom.

=====

i | This record from Alexandria describes a geometry-optimized MgRe4 structure. The functional is PBE-GGA.

space group: Pm-3m, No. 221

Cell lengths 4.3817, 4.3817, 4.3817 Å; angles 90.00, 90.00, 90.00 degrees
Closest atoms and distances in Å follow each position.
Element x y z (fractional)
Mg  0.5000  0.5000  0.5000  6 Re 2.19
Re  0.5000  0.5000  0.0000  2 Mg 2.19
Re  0.5000  0.0000  0.5000  2 Mg 2.19
Re  0.0000  0.5000  0.5000  2 Mg 2.19
Re  0.0000  0.0000  0.0000  12 Re 3.10

=====

ii | This record from Alexandria describes a geometry-optimized MgRe4 structure. The functional is PBE-GGA.

space group: I4/m, No. 87

Cell lengths 4.7987, 4.7987, 4.7987 Å; angles 100.23, 100.23, 130.15 degrees
Closest atoms and distances in Å follow each position.
Element x y z (fractional)
Mg  0.0000  0.0000  0.0000  12 Re 2.78-2.85
Re  0.2021  0.5829  0.7850  9 Re 2.69-2.94, 3 Mg 2.78-2.85
Re  0.4171  0.2021  0.6192  9 Re 2.69-2.94, 3 Mg 2.78-2.85
Re  0.7979  0.4171  0.2150  9 Re 2.69-2.94, 3 Mg 2.78-2.85
Re  0.5829  0.7979  0.3808  9 Re 2.69-2.94, 3 Mg 2.78-2.85

=====

Most stable pick: ii. Distance to second place: 2.223 eV/atom.